--- one ---
A relaxed K3LaW crystal, computed with PBE.

Cell: 5.7854 5.7854 5.7854 Å, 90.00 90.00 90.00°
With the nearest neighbours (Å) after each atom.
Fractional positions:
K (0.0000, 0.0000, 0.5000)  2 W 2.89
K (0.0000, 0.5000, 0.0000)  2 W 2.89
K (0.5000, 0.0000, 0.0000)  2 W 2.89
La (0.5000, 0.5000, 0.5000)  12 K 4.09
W (0.0000, 0.0000, 0.0000)  6 K 2.89

## Properties
For the total magnetization, the calculation gives 0.000 μB/cell. The space group is No. 221.

---

--- two ---
A relaxed K3LaW crystal, computed with PBE.

Cell: 6.0925 6.0925 6.0925 Å, 90.00 90.00 90.00°
With the nearest neighbours (Å) after each atom.
Fractional positions:
K (0.0000, 0.0000, 0.5000)  2 La 3.05
K (0.0000, 0.5000, 0.0000)  2 La 3.05
K (0.5000, 0.0000, 0.0000)  2 La 3.05
La (0.0000, 0.0000, 0.0000)  6 K 3.05
W (0.5000, 0.5000, 0.5000)  12 K 4.31

## Properties
For the total magnetization, the calculation gives 0.036 μB/cell. The space group is No. 221.

---

Which of them is the least stable? Correct choice: two.

---

--- one ---
A relaxed KLaW2 crystal, computed with PBE.

Cell: 5.7715 5.7715 7.5169 Å, 94.87 94.87 33.60°
With the nearest neighbours (Å) after each atom.
Fractional positions:
K (0.0000, 0.0000, 0.0000)  2 K 3.34
La (0.5000, 0.5000, 0.5000)  6 W 2.99-3.27, 2 La 3.34
W (0.2491, 0.2491, 0.6186)  2 W 2.44
W (0.7509, 0.7509, 0.3814)  2 W 2.44

## Properties
For the total magnetization, the calculation gives 0.000 μB/cell. The space group is No. 12.

---

--- two ---
A relaxed KLaW2 crystal, computed with PBE.

Cell: 3.3220 3.3220 10.3487 Å, 90.00 90.00 90.00°
With the nearest neighbours (Å) after each atom.
Fractional positions:
K (0.0000, 0.0000, 0.0000)  4 K 3.32
La (0.5000, 0.5000, 0.3824)  5 W 3.26-3.44, 4 La 3.32
W (0.0000, 0.0000, 0.6004)  4 W 2.63
W (0.5000, 0.5000, 0.7143)  4 W 2.63

## Properties
For the total magnetization, the calculation gives 0.001 μB/cell. The space group is No. 99.

---

Which of them is the least stable? Correct choice: one.

---

--- one ---
A relaxed KLa3W crystal, computed with PBE.

Cell: 5.8088 5.8088 5.8088 Å, 90.00 90.00 90.00°
With the nearest neighbours (Å) after each atom.
Fractional positions:
K (0.0000, 0.0000, 0.0000)  12 La 4.11
La (0.0000, 0.5000, 0.5000)  2 W 2.90
La (0.5000, 0.0000, 0.5000)  2 W 2.90
La (0.5000, 0.5000, 0.0000)  2 W 2.90
W (0.5000, 0.5000, 0.5000)  6 La 2.90

## Properties
For the total magnetization, the calculation gives 0.000 μB/cell. The space group is No. 221.

---

--- two ---
A relaxed KLa3W crystal, computed with PBE.

Cell: 5.3595 5.3595 5.3595 Å, 90.00 90.00 90.00°
With the nearest neighbours (Å) after each atom.
Fractional positions:
K (0.0000, 0.0000, 0.0000)  6 La 2.68
La (0.0000, 0.0000, 0.5000)  2 K 2.68
La (0.0000, 0.5000, 0.0000)  2 K 2.68
La (0.5000, 0.0000, 0.0000)  2 K 2.68
W (0.5000, 0.5000, 0.5000)  12 La 3.79

## Properties
For the total magnetization, the calculation gives 0.000 μB/cell. The space group is No. 221.

---

Which of them is the least stable? Correct choice: two.